# 1
Material: CeYZn2
Method: DFT, PBEsol
State: relaxed

It has space group Fm-3m (No. 225), with a = 7.075 Å, b = 7.075 Å, c = 7.075 Å, α = 90.00°, β = 90.00° and γ = 90.00°. The inequivalent atoms are Ce at (0.000, 0.000, 0.000), Y at (0.000, 0.000, 0.500) and Zn at (0.250, 0.250, 0.250).

The value obtained for the volume is 89 Å³/f.u. The uncorrected energy is -4.367 eV per atom. Its total magnetic moment is 0.142 μB/atom. The formation energy comes out at -221 meV/atom.

=====

# 2
Material: Ta2GeOsCl
Method: DFT, PBEsol
State: relaxed

It has space group P4/mmm (No. 123), with a = 4.470 Å, b = 4.470 Å, c = 4.333 Å, α = 90.00°, β = 90.00° and γ = 90.00°. The inequivalent atoms are Ta at (0.000, 0.500, 0.000), Ge at (0.000, 0.000, 0.500), Os at (0.500, 0.500, 0.500) and Cl at (0.500, 0.500, 0.000).

The value obtained for the volume is 87 Å³/f.u. The uncorrected formation energy comes out at 1.091 eV/atom. The uncorrected energy is -7.762 eV per atom. Its total magnetic moment is 0.000 μB/atom.

=====

# 3
Material: ScInSCl2
Method: DFT, PBEsol
State: relaxed

It has space group P4/mmm (No. 123), with a = 5.049 Å, b = 5.049 Å, c = 5.051 Å, α = 90.00°, β = 90.00° and γ = 90.00°. The inequivalent atoms are Sc at (0.000, 0.000, 0.000), In at (0.500, 0.500, 0.500), S at (0.500, 0.500, 0.000) and Cl at (0.000, 0.500, 0.500).

The value obtained for the volume is 129 Å³/f.u. The uncorrected formation energy comes out at -0.383 eV/atom. The uncorrected energy is -3.981 eV per atom. Its total magnetic moment is 0.273 μB/atom.

=====

# 4
Material: Ba2Li2Cd
Method: DFT, PBEsol
State: relaxed

It has space group I4/mmm (No. 139), with a = 4.131 Å, b = 4.131 Å, c = 20.797 Å, α = 90.00°, β = 90.00° and γ = 90.00°. The inequivalent atoms are Ba at (0.000, 0.000, 0.097), Li at (0.000, 0.500, 0.250) and Cd at (0.000, 0.000, 0.500).

The value obtained for the volume is 177 Å³/f.u. The uncorrected energy is -1.950 eV per atom. Its total magnetic moment is 0.000 μB/atom. The formation energy comes out at -65 meV/atom.

=====

# 5
Material: Tl5Cd4
Method: DFT, PBEsol
State: relaxed

It has space group I4/mmm (No. 139), with a = 9.745 Å, b = 9.745 Å, c = 4.760 Å, α = 90.00°, β = 90.00° and γ = 90.00°. The inequivalent atoms are Tl at (0.000, 0.000, 0.000), Tl at (0.171, 0.171, 0.500) and Cd at (0.000, 0.347, 0.000).

The value obtained for the volume is 226 Å³/f.u. The uncorrected energy is -1.935 eV per atom. Its total magnetic moment is 0.000 μB/atom. The formation energy comes out at 58 meV/atom.

=====

# 6
Material: LaCu2Hg
Method: DFT, PBEsol
State: relaxed

It has space group P4/mmm (No. 123), with a = 4.602 Å, b = 4.602 Å, c = 3.819 Å, α = 90.00°, β = 90.00° and γ = 90.00°. The inequivalent atoms are La at (0.000, 0.000, 0.000), Cu at (0.000, 0.500, 0.500) and Hg at (0.500, 0.500, 0.000).

The value obtained for the volume is 81 Å³/f.u. The uncorrected energy is -3.588 eV per atom. Its total magnetic moment is 0.000 μB/atom. The formation energy comes out at 57 meV/atom.

=====

# 7
Material: KCu2Sn2
Method: DFT, PBEsol
State: relaxed

It has space group I4/mmm (No. 139), with a = 4.544 Å, b = 4.544 Å, c = 10.985 Å, α = 90.00°, β = 90.00° and γ = 90.00°. The inequivalent atoms are K at (0.000, 0.000, 0.000), Cu at (0.000, 0.500, 0.250) and Sn at (0.000, 0.000, 0.363).

The value obtained for the volume is 113 Å³/f.u. The uncorrected energy is -3.668 eV per atom. Its total magnetic moment is 0.000 μB/atom. The formation energy comes out at -4 meV/atom.

=====

# 8
Material: Cs2KSiF7
Method: DFT, PBEsol
State: relaxed

It has space group Cmmm (No. 65), with a = 11.228 Å, b = 11.611 Å, c = 5.899 Å, α = 90.00°, β = 90.00° and γ = 90.00°. The inequivalent atoms are Cs at (0.000, 0.194, 0.000), Cs at (0.250, 0.250, 0.500), K at (0.196, 0.500, 0.000), Si at (0.000, 0.000, 0.500), Si at (0.000, 0.500, 0.500), F at (0.000, 0.147, 0.500), F at (0.000, 0.397, 0.292), F at (0.108, 0.000, 0.294), F at (0.152, 0.500, 0.500) and F at (0.250, 0.250, 0.000).

The value obtained for the volume is 192 Å³/f.u. The uncorrected formation energy comes out at -3.101 eV/atom. The uncorrected energy is -5.124 eV per atom. Its total magnetic moment is 0.003 μB/atom.